# CsH3CN2O | the Alexandria database | PBE | relaxed
# DFT total energy = -5.8906 eV/atom
# calculated density = 2.91 g cm⁻³
# size of the total moment = 0.169 Bohr magnetons per cell
data_CsH3CN2O
_chemical_formula_sum 'Cs4 H12 C4 N8 O4'
_symmetry_space_group_name_H-M 'P 1'
_symmetry_Int_Tables_number 1
_cell_length_a 6.527
_cell_length_b 7.253
_cell_length_c 9.254
_cell_angle_alpha 90.00
_cell_angle_beta 90.00
_cell_angle_gamma 90.00
loop_
_symmetry_equiv_pos_as_xyz
'x,y,z'
loop_
_atom_site_label
_atom_site_type_symbol
_atom_site_fract_x
_atom_site_fract_y
_atom_site_fract_z
Cs1 Cs 0.841 0.573 0.368
N1 N 0.679 0.096 0.344
O1 O 0.972 0.963 0.433
N2 N 0.821 0.904 0.844
N3 N 0.196 0.674 0.923
C1 C 0.178 0.576 0.045
H1 H 0.323 0.758 0.931
C2 C 0.322 0.424 0.545
H2 H 0.816 0.993 0.758
H3 H 0.449 0.677 0.138
Cs2 Cs 0.159 0.073 0.132
H4 H 0.177 0.242 0.431
H5 H 0.316 0.507 0.242
C3 C 0.678 0.924 0.955
H6 H 0.823 0.742 0.069
H7 H 0.551 0.177 0.362
N4 N 0.179 0.404 0.656
C4 C 0.822 0.076 0.455
H8 H 0.949 0.823 0.862
H9 H 0.184 0.493 0.742
H10 H 0.677 0.258 0.569
O2 O 0.528 0.037 0.933
O3 O 0.028 0.463 0.067
H11 H 0.051 0.323 0.638
O4 O 0.472 0.537 0.567
N5 N 0.696 0.826 0.077
N6 N 0.804 0.174 0.577
N7 N 0.304 0.326 0.423
Cs3 Cs 0.659 0.427 0.868
H12 H 0.684 0.007 0.258
N8 N 0.321 0.596 0.156
Cs4 Cs 0.341 0.927 0.632

***

# CsH7C4O10 | the Alexandria database | PBE | relaxed
# DFT total energy = -6.1931 eV/atom
# calculated density = 2.18 g cm⁻³
# size of the total moment = 0.198 Bohr magnetons per cell
data_CsH7C4O10
_chemical_formula_sum 'Cs2 H14 C8 O20'
_symmetry_space_group_name_H-M 'P 1'
_symmetry_Int_Tables_number 1
_cell_length_a 7.494
_cell_length_b 6.748
_cell_length_c 10.913
_cell_angle_alpha 102.44
_cell_angle_beta 91.54
_cell_angle_gamma 99.72
loop_
_symmetry_equiv_pos_as_xyz
'x,y,z'
loop_
_atom_site_label
_atom_site_type_symbol
_atom_site_fract_x
_atom_site_fract_y
_atom_site_fract_z
O1 O 0.581 0.175 0.319
C1 C 0.546 0.514 0.939
C2 C 0.454 0.486 0.061
H1 H 0.018 0.733 0.425
C3 C 0.441 0.720 0.456
H2 H 0.658 0.135 0.241
H3 H 0.810 0.750 0.393
C4 C 0.014 0.582 0.062
O2 O 0.657 0.673 0.938
O3 O 0.347 0.647 0.352
O4 O 0.750 0.057 0.125
O5 O 0.893 0.245 0.930
C5 C 0.677 0.238 0.428
O6 O 0.156 0.738 0.559
O7 O 0.250 0.943 0.875
H4 H 0.299 0.083 0.926
O8 O 0.070 0.487 0.847
C6 C 0.986 0.418 0.938
C7 C 0.559 0.280 0.544
H5 H 0.561 0.365 0.759
O9 O 0.653 0.353 0.648
O10 O 0.844 0.262 0.441
H6 H 0.701 0.917 0.074
H7 H 0.062 0.376 0.760
O11 O 0.506 0.643 0.155
O12 O 0.107 0.755 0.070
H8 H 0.439 0.635 0.241
H9 H 0.791 0.145 0.065
O13 O 0.419 0.825 0.681
O14 O 0.343 0.327 0.062
H10 H 0.938 0.624 0.240
O15 O 0.610 0.761 0.475
O16 O 0.933 0.757 0.360
C8 C 0.323 0.762 0.572
O17 O 0.067 0.243 0.640
H11 H 0.209 0.855 0.935
Cs1 Cs 0.845 0.844 0.726
H12 H 0.190 0.250 0.607
H13 H 0.982 0.267 0.575
O18 O 0.494 0.357 0.845
Cs2 Cs 0.155 0.156 0.274
O19 O 0.390 0.239 0.525
H14 H 0.342 0.865 0.759
O20 O 0.930 0.513 0.153

***

# CsHCO3 | the Alexandria database | PBE | relaxed
# DFT total energy = -6.2559 eV/atom
# calculated density = 3.20 g cm⁻³
# size of the total moment = 0.000 Bohr magnetons per cell
data_CsHCO3
_chemical_formula_sum 'Cs4 H4 C4 O12'
_symmetry_space_group_name_H-M 'P 1'
_symmetry_Int_Tables_number 1
_cell_length_a 11.615
_cell_length_b 4.410
_cell_length_c 8.195
_cell_angle_alpha 73.80
_cell_angle_beta 90.00
_cell_angle_gamma 90.00
loop_
_symmetry_equiv_pos_as_xyz
'x,y,z'
loop_
_atom_site_label
_atom_site_type_symbol
_atom_site_fract_x
_atom_site_fract_y
_atom_site_fract_z
O1 O 0.399 0.233 0.311
H1 H 0.591 0.966 0.024
O2 O 0.366 0.105 0.070
C1 C 0.059 0.137 0.693
Cs1 Cs 0.165 0.570 0.092
Cs2 Cs 0.335 0.570 0.592
C2 C 0.441 0.137 0.193
O3 O 0.453 0.935 0.821
O4 O 0.101 0.233 0.811
O5 O 0.047 0.935 0.321
H2 H 0.409 0.034 0.976
Cs3 Cs 0.665 0.430 0.408
O6 O 0.134 0.105 0.570
O7 O 0.953 0.065 0.679
H3 H 0.909 0.966 0.524
C3 C 0.559 0.863 0.807
H4 H 0.091 0.034 0.476
O8 O 0.547 0.065 0.179
O9 O 0.601 0.767 0.689
O10 O 0.899 0.767 0.189
Cs4 Cs 0.835 0.430 0.908
O11 O 0.634 0.895 0.930
O12 O 0.866 0.895 0.430
C4 C 0.941 0.863 0.307

***

# CsH2CO | the Alexandria database | PBE | relaxed
# DFT total energy = -3.3398 eV/atom
# calculated density = 4.92 g cm⁻³
# size of the total moment = 0.000 Bohr magnetons per cell
data_CsH2CO
_chemical_formula_sum 'Cs1 H2 C1 O1'
_symmetry_space_group_name_H-M 'P 1'
_symmetry_Int_Tables_number 1
_cell_length_a 4.009
_cell_length_b 3.423
_cell_length_c 4.009
_cell_angle_alpha 90.00
_cell_angle_beta 90.00
_cell_angle_gamma 90.00
loop_
_symmetry_equiv_pos_as_xyz
'x,y,z'
loop_
_atom_site_label
_atom_site_type_symbol
_atom_site_fract_x
_atom_site_fract_y
_atom_site_fract_z
H1 H 0.500 0.000 0.000
H2 H 0.000 0.000 0.500
Cs1 Cs 0.500 0.500 0.500
C1 C 0.000 0.000 0.000
O1 O 0.000 0.500 0.000

***

# CsHCO2 | the Alexandria database | PBE | relaxed
# DFT total energy = -5.9690 eV/atom
# calculated density = 3.04 g cm⁻³
# size of the total moment = 0.000 Bohr magnetons per cell
data_CsHCO2
_chemical_formula_sum 'Cs4 H4 C4 O8'
_symmetry_space_group_name_H-M 'P 1'
_symmetry_Int_Tables_number 1
_cell_length_a 9.758
_cell_length_b 8.092
_cell_length_c 4.927
_cell_angle_alpha 90.00
_cell_angle_beta 90.00
_cell_angle_gamma 90.00
loop_
_symmetry_equiv_pos_as_xyz
'x,y,z'
loop_
_atom_site_label
_atom_site_type_symbol
_atom_site_fract_x
_atom_site_fract_y
_atom_site_fract_z
Cs1 Cs 0.250 0.500 0.934
O1 O 0.500 0.750 0.148
C1 C 0.948 0.750 0.615
C2 C 0.552 0.250 0.615
Cs2 Cs 0.750 0.000 0.066
Cs3 Cs 0.250 0.000 0.934
H1 H 0.023 0.750 0.441
O2 O 0.500 0.250 0.852
O3 O 0.000 0.250 0.148
H2 H 0.477 0.250 0.441
C3 C 0.052 0.250 0.385
O4 O 0.000 0.750 0.852
O5 O 0.178 0.250 0.447
O6 O 0.678 0.250 0.553
H3 H 0.977 0.250 0.559
C4 C 0.448 0.750 0.385
Cs4 Cs 0.750 0.500 0.066
O7 O 0.822 0.750 0.553
H4 H 0.523 0.750 0.559
O8 O 0.322 0.750 0.447

***

# CsH2C2O6 | the Alexandria database | PBE | relaxed
# DFT total energy = -6.3478 eV/atom
# calculated density = 2.57 g cm⁻³
# size of the total moment = 0.989 Bohr magnetons per cell
data_CsH2C2O6
_chemical_formula_sum 'Cs1 H2 C2 O6'
_symmetry_space_group_name_H-M 'P 1'
_symmetry_Int_Tables_number 1
_cell_length_a 5.313
_cell_length_b 7.553
_cell_length_c 5.488
_cell_angle_alpha 126.23
_cell_angle_beta 84.19
_cell_angle_gamma 76.59
loop_
_symmetry_equiv_pos_as_xyz
'x,y,z'
loop_
_atom_site_label
_atom_site_type_symbol
_atom_site_fract_x
_atom_site_fract_y
_atom_site_fract_z
O1 O 0.308 0.828 0.891
Cs1 Cs 0.500 0.000 0.500
O2 O 0.926 0.395 0.165
O3 O 0.692 0.172 0.109
C1 C 0.822 0.301 0.261
H1 H 0.945 0.459 0.658
O4 O 0.074 0.605 0.835
O5 O 0.845 0.336 0.523
O6 O 0.155 0.664 0.477
H2 H 0.055 0.541 0.342
C2 C 0.178 0.699 0.739

***

# Cs2HC2O6 | the Alexandria database | PBE | relaxed
# DFT total energy = -6.0108 eV/atom
# calculated density = 3.35 g cm⁻³
# size of the total moment = 1.028 Bohr magnetons per cell
data_Cs2HC2O6
_chemical_formula_sum 'Cs2 H1 C2 O6'
_symmetry_space_group_name_H-M 'P 1'
_symmetry_Int_Tables_number 1
_cell_length_a 4.638
_cell_length_b 7.117
_cell_length_c 7.309
_cell_angle_alpha 120.74
_cell_angle_beta 90.00
_cell_angle_gamma 109.02
loop_
_symmetry_equiv_pos_as_xyz
'x,y,z'
loop_
_atom_site_label
_atom_site_type_symbol
_atom_site_fract_x
_atom_site_fract_y
_atom_site_fract_z
C1 C 0.001 0.003 0.695
O1 O 0.822 0.118 0.714
O2 O 0.703 0.882 0.286
O3 O 0.100 0.200 0.333
O4 O 0.178 0.882 0.286
Cs1 Cs 0.309 0.618 0.810
Cs2 Cs 0.691 0.382 0.190
O5 O 0.900 0.800 0.667
C2 C 0.999 0.997 0.305
H1 H 0.500 0.000 0.500
O6 O 0.297 0.118 0.714

***

# Cs2H6CO6 | the Alexandria database | PBE | relaxed
# DFT total energy = -5.4010 eV/atom
# calculated density = 3.09 g cm⁻³
# size of the total moment = 0.079 Bohr magnetons per cell
data_Cs2H6CO6
_chemical_formula_sum 'Cs4 H12 C2 O12'
_symmetry_space_group_name_H-M 'P 1'
_symmetry_Int_Tables_number 1
_cell_length_a 6.973
_cell_length_b 6.593
_cell_length_c 8.874
_cell_angle_alpha 88.93
_cell_angle_beta 90.00
_cell_angle_gamma 90.00
loop_
_symmetry_equiv_pos_as_xyz
'x,y,z'
loop_
_atom_site_label
_atom_site_type_symbol
_atom_site_fract_x
_atom_site_fract_y
_atom_site_fract_z
H1 H 0.595 0.282 0.646
H2 H 0.271 0.881 0.738
O1 O 0.184 0.000 0.750
H3 H 0.346 0.267 0.974
H4 H 0.405 0.282 0.146
Cs1 Cs 0.153 0.757 0.076
H5 H 0.595 0.718 0.854
Cs2 Cs 0.153 0.243 0.424
O2 O 0.421 0.668 0.719
O3 O 0.859 0.500 0.250
H6 H 0.346 0.733 0.526
O4 O 0.421 0.332 0.781
H7 H 0.654 0.733 0.026
H8 H 0.654 0.267 0.474
Cs3 Cs 0.847 0.757 0.576
O5 O 0.141 0.500 0.750
O6 O 0.579 0.332 0.281
H9 H 0.271 0.119 0.762
C1 C 0.675 0.500 0.250
O7 O 0.297 0.755 0.422
C2 C 0.325 0.500 0.750
Cs4 Cs 0.847 0.243 0.924
H10 H 0.729 0.881 0.238
O8 O 0.703 0.245 0.578
O9 O 0.297 0.245 0.078
O10 O 0.579 0.668 0.219
O11 O 0.816 0.000 0.250
H11 H 0.729 0.119 0.262
O12 O 0.703 0.755 0.922
H12 H 0.405 0.718 0.354